EuPu2Ni after structural relaxation, computed with PBE.

Geometry as CIF:
```
data_EuPu2Ni
_chemical_formula_sum 'Eu3 Pu6 Ni3'
_symmetry_space_group_name_H-M 'R -3 m'
_symmetry_Int_Tables_number 166
_symmetry_space_group_name_Hall '-R 3 2"'
_cell_length_a 4.6384
_cell_length_b 4.6384
_cell_length_c 16.8693
_cell_angle_alpha 90.00
_cell_angle_beta 90.00
_cell_angle_gamma 120.00
loop_
_atom_site_label
_atom_site_type_symbol
_atom_site_fract_x
_atom_site_fract_y
_atom_site_fract_z
Eu1 Eu 0.0000 0.0000 0.0000
Pu1 Pu 0.0000 0.0000 0.2164
Ni1 Ni 0.0000 0.0000 0.5000
```

## Properties
For the energy above the most stable polymorph in this dataset, the calculation gives 186.5 meV/atom. As for the volume: 104.8 Å³/f.u. The formation enthalpy at 0 K comes out at 29.8 kJ per mole of atoms.

EuPuNi2 after structural relaxation, computed with PBE.

Geometry as CIF:
```
data_EuPuNi2
_chemical_formula_sum 'Eu1 Pu1 Ni2'
_symmetry_space_group_name_H-M 'P 4/m m m'
_symmetry_Int_Tables_number 123
_symmetry_space_group_name_Hall '-P 4 2'
_cell_length_a 3.420
_cell_length_b 3.420
_cell_length_c 6.928
_cell_angle_alpha 90.00
_cell_angle_beta 90.00
_cell_angle_gamma 90.00
loop_
_atom_site_label
_atom_site_type_symbol
_atom_site_fract_x
_atom_site_fract_y
_atom_site_fract_z
Eu1 Eu 0.000 0.000 0.000
Pu1 Pu 0.000 0.000 0.500
Ni1 Ni 0.500 0.500 0.296
```

## Properties
For the energy above the most stable polymorph in this dataset, the calculation gives 0.0 meV/atom. As for the volume: 81.0 Å³/f.u. The formation enthalpy at 0 K comes out at -3.9 kJ per mole of atoms.

EuPuNi after structural relaxation, computed with PBE.

Geometry as CIF:
```
data_EuPuNi
_chemical_formula_sum 'Eu2 Pu2 Ni2'
_symmetry_space_group_name_H-M 'I 4 m m'
_symmetry_Int_Tables_number 107
_symmetry_space_group_name_Hall 'I 4 -2'
_cell_length_a 3.419
_cell_length_b 3.419
_cell_length_c 12.693
_cell_angle_alpha 90.00
_cell_angle_beta 90.00
_cell_angle_gamma 90.00
loop_
_atom_site_label
_atom_site_type_symbol
_atom_site_fract_x
_atom_site_fract_y
_atom_site_fract_z
Eu1 Eu 0.000 0.000 0.000
Pu1 Pu 0.000 0.000 0.264
Ni1 Ni 0.000 0.000 0.650
```

## Properties
As for the volume: 74.2 Å³/f.u. The formation enthalpy at 0 K comes out at 7.5 kJ per mole of atoms.

Eu2PuNi after structural relaxation, computed with PBE.

Geometry as CIF:
```
data_Eu2PuNi
_chemical_formula_sum 'Eu6 Pu3 Ni3'
_symmetry_space_group_name_H-M 'R -3 m'
_symmetry_Int_Tables_number 166
_symmetry_space_group_name_Hall '-R 3 2"'
_cell_length_a 5.3953
_cell_length_b 5.3953
_cell_length_c 12.6950
_cell_angle_alpha 90.00
_cell_angle_beta 90.00
_cell_angle_gamma 120.00
loop_
_atom_site_label
_atom_site_type_symbol
_atom_site_fract_x
_atom_site_fract_y
_atom_site_fract_z
Eu1 Eu 0.0000 0.0000 0.2459
Pu1 Pu 0.0000 0.0000 0.5000
Ni1 Ni 0.0000 0.0000 0.0000
```

## Properties
As for the volume: 106.7 Å³/f.u. The formation enthalpy at 0 K comes out at 38.0 kJ per mole of atoms.

RbEu3Ni after structural relaxation, computed with PBE.

Geometry as CIF:
```
data_RbEu3Ni
_chemical_formula_sum 'Rb1 Eu3 Ni1'
_symmetry_space_group_name_H-M 'P m -3 m'
_symmetry_Int_Tables_number 221
_symmetry_space_group_name_Hall '-P 4 2 3'
_cell_length_a 5.887
_cell_length_b 5.887
_cell_length_c 5.887
_cell_angle_alpha 90.00
_cell_angle_beta 90.00
_cell_angle_gamma 90.00
loop_
_atom_site_label
_atom_site_type_symbol
_atom_site_fract_x
_atom_site_fract_y
_atom_site_fract_z
Rb1 Rb 0.000 0.000 0.000
Eu1 Eu 0.000 0.500 0.500
Ni1 Ni 0.500 0.500 0.500
```

## Properties
As for the volume: 204.0 Å³/f.u. The formation enthalpy at 0 K comes out at 7.9 kJ per mole of atoms.

RbEu2Ni after structural relaxation, computed with PBE.

Geometry as CIF:
```
data_RbEu2Ni
_chemical_formula_sum 'Rb3 Eu6 Ni3'
_symmetry_space_group_name_H-M 'R -3 m'
_symmetry_Int_Tables_number 166
_symmetry_space_group_name_Hall '-R 3 2"'
_cell_length_a 4.1982
_cell_length_b 4.1982
_cell_length_c 34.5216
_cell_angle_alpha 90.00
_cell_angle_beta 90.00
_cell_angle_gamma 120.00
loop_
_atom_site_label
_atom_site_type_symbol
_atom_site_fract_x
_atom_site_fract_y
_atom_site_fract_z
Rb1 Rb 0.0000 0.0000 0.0000
Eu1 Eu 0.0000 0.0000 0.1225
Ni1 Ni 0.0000 0.0000 0.5000
```

## Properties
As for the volume: 175.6 Å³/f.u. The formation enthalpy at 0 K comes out at 6.3 kJ per mole of atoms.

Eu2NiRh after structural relaxation, computed with PBE.

Geometry as CIF:
```
data_Eu2NiRh
_chemical_formula_sum 'Eu2 Ni1 Rh1'
_symmetry_space_group_name_H-M 'P 4/m m m'
_symmetry_Int_Tables_number 123
_symmetry_space_group_name_Hall '-P 4 2'
_cell_length_a 3.479
_cell_length_b 3.479
_cell_length_c 7.153
_cell_angle_alpha 90.00
_cell_angle_beta 90.00
_cell_angle_gamma 90.00
loop_
_atom_site_label
_atom_site_type_symbol
_atom_site_fract_x
_atom_site_fract_y
_atom_site_fract_z
Eu1 Eu 0.000 0.000 0.249
Ni1 Ni 0.500 0.500 0.000
Rh1 Rh 0.500 0.500 0.500
```

## Properties
As for the volume: 86.6 Å³/f.u. The formation enthalpy at 0 K comes out at -16.7 kJ per mole of atoms.

EuScNiRh after structural relaxation, computed with PBE.

Geometry as CIF:
```
data_EuScNiRh
_chemical_formula_sum 'Eu4 Sc4 Ni4 Rh4'
_symmetry_space_group_name_H-M 'F -4 3 m'
_symmetry_Int_Tables_number 216
_symmetry_space_group_name_Hall 'F -4 2 3'
_cell_length_a 6.710
_cell_length_b 6.710
_cell_length_c 6.710
_cell_angle_alpha 90.00
_cell_angle_beta 90.00
_cell_angle_gamma 90.00
loop_
_atom_site_label
_atom_site_type_symbol
_atom_site_fract_x
_atom_site_fract_y
_atom_site_fract_z
Eu1 Eu 0.000 0.000 0.000
Sc1 Sc 0.000 0.000 0.500
Ni1 Ni 0.250 0.250 0.750
Rh1 Rh 0.250 0.250 0.250
```

## Properties
As for the volume: 75.5 Å³/f.u. The formation enthalpy at 0 K comes out at -35.1 kJ per mole of atoms.

EuNiSnRh after structural relaxation, computed with PBE.

Geometry as CIF:
```
data_EuNiSnRh
_chemical_formula_sum 'Eu4 Ni4 Sn4 Rh4'
_symmetry_space_group_name_H-M 'F -4 3 m'
_symmetry_Int_Tables_number 216
_symmetry_space_group_name_Hall 'F -4 2 3'
_cell_length_a 6.697
_cell_length_b 6.697
_cell_length_c 6.697
_cell_angle_alpha 90.00
_cell_angle_beta 90.00
_cell_angle_gamma 90.00
loop_
_atom_site_label
_atom_site_type_symbol
_atom_site_fract_x
_atom_site_fract_y
_atom_site_fract_z
Eu1 Eu 0.000 0.000 0.000
Ni1 Ni 0.250 0.250 0.250
Sn1 Sn 0.000 0.000 0.500
Rh1 Rh 0.250 0.250 0.750
```

## Properties
As for the volume: 75.1 Å³/f.u. The formation enthalpy at 0 K comes out at -29.3 kJ per mole of atoms.

EuTmNiRh after structural relaxation, computed with PBE.

Geometry as CIF:
```
data_EuTmNiRh
_chemical_formula_sum 'Eu4 Tm4 Ni4 Rh4'
_symmetry_space_group_name_H-M 'F -4 3 m'
_symmetry_Int_Tables_number 216
_symmetry_space_group_name_Hall 'F -4 2 3'
_cell_length_a 6.857
_cell_length_b 6.857
_cell_length_c 6.857
_cell_angle_alpha 90.00
_cell_angle_beta 90.00
_cell_angle_gamma 90.00
loop_
_atom_site_label
_atom_site_type_symbol
_atom_site_fract_x
_atom_site_fract_y
_atom_site_fract_z
Eu1 Eu 0.000 0.000 0.000
Tm1 Tm 0.000 0.000 0.500
Ni1 Ni 0.250 0.250 0.250
Rh1 Rh 0.250 0.250 0.750
```

## Properties
As for the volume: 80.6 Å³/f.u. The formation enthalpy at 0 K comes out at -39.1 kJ per mole of atoms.

EuYNiRh after structural relaxation, computed with PBE.

Geometry as CIF:
```
data_EuYNiRh
_chemical_formula_sum 'Eu4 Y4 Ni4 Rh4'
_symmetry_space_group_name_H-M 'F -4 3 m'
_symmetry_Int_Tables_number 216
_symmetry_space_group_name_Hall 'F -4 2 3'
_cell_length_a 6.922
_cell_length_b 6.922
_cell_length_c 6.922
_cell_angle_alpha 90.00
_cell_angle_beta 90.00
_cell_angle_gamma 90.00
loop_
_atom_site_label
_atom_site_type_symbol
_atom_site_fract_x
_atom_site_fract_y
_atom_site_fract_z
Eu1 Eu 0.000 0.000 0.000
Y1 Y 0.000 0.000 0.500
Ni1 Ni 0.250 0.250 0.750
Rh1 Rh 0.250 0.250 0.250
```

## Properties
As for the volume: 82.9 Å³/f.u. The formation enthalpy at 0 K comes out at -35.9 kJ per mole of atoms.

EuZrNiRh after structural relaxation, computed with PBE.

Geometry as CIF:
```
data_EuZrNiRh
_chemical_formula_sum 'Eu4 Zr4 Ni4 Rh4'
_symmetry_space_group_name_H-M 'F -4 3 m'
_symmetry_Int_Tables_number 216
_symmetry_space_group_name_Hall 'F -4 2 3'
_cell_length_a 6.737
_cell_length_b 6.737
_cell_length_c 6.737
_cell_angle_alpha 90.00
_cell_angle_beta 90.00
_cell_angle_gamma 90.00
loop_
_atom_site_label
_atom_site_type_symbol
_atom_site_fract_x
_atom_site_fract_y
_atom_site_fract_z
Eu1 Eu 0.000 0.000 0.000
Zr1 Zr 0.000 0.000 0.500
Ni1 Ni 0.250 0.250 0.750
Rh1 Rh 0.250 0.250 0.250
```

## Properties
As for the volume: 76.4 Å³/f.u. The formation enthalpy at 0 K comes out at -26.3 kJ per mole of atoms.

| no. | calculated density (g cm⁻³) | magnetization (μB/f.u.) |
| --- | --- | --- |
| 1 | 11.07 | 18.76 |
| 2 | 10.52 | 1.89 |
| 3 | 10.18 | 1.46 |
| 4 | 9.44 | 21.33 |
| 5 | 4.88 | 22.12 |
| 6 | 4.24 | 14.26 |
| 7 | 8.93 | 13.25 |
| 8 | 7.88 | 6.68 |
| 9 | 9.56 | 6.76 |
| 10 | 9.94 | 6.69 |
| 11 | 8.06 | 6.66 |
| 12 | 8.79 | 7.09 |